1.
This record from Alexandria via LeMat-Bulk describes a relaxed PuUPa2Sb4 crystal. The functional is GGA-PBE.

Cell lengths 13.851, 6.192, 6.191 Å; angles 90.00, 116.47, 90.00 degrees
Space group Cm (No. 8)
Symmetry-distinct sites (fractional):
Pu 0.000 0.000 0.000 (multiplicity 2)
U 0.250 0.500 0.250 (multiplicity 2)
Pa 0.000 0.500 0.500 (multiplicity 2)
Pa 0.250 0.000 0.750 (multiplicity 2)
Sb 0.000 0.000 0.500 (multiplicity 2)
Sb 0.000 0.500 0.999 (multiplicity 2)
Sb 0.249 0.500 0.749 (multiplicity 2)
Sb 0.251 0.000 0.251 (multiplicity 2)

Output
DOS at the Fermi energy: 55.49 states/eV per cell
Energy: -64.45 eV/f.u.

***

2.
This record from Alexandria via LeMat-Bulk describes a relaxed Li2MnCdBr6 crystal. The functional is GGA-PBE.

Cell lengths 6.8770, 6.8770, 18.8345 Å; angles 90.00, 90.00, 120.00 degrees
Space group R3 (No. 146, hexagonal axes)
Symmetry-distinct sites (fractional):
Li 0.0000 0.0000 0.0000 (multiplicity 3)
Li 0.0000 0.0000 0.4961 (multiplicity 3)
Mn 0.0000 0.0000 0.6877 (multiplicity 3)
Cd 0.0000 0.0000 0.1909 (multiplicity 3)
Br 0.0077 0.6961 0.5942 (multiplicity 9)
Br 0.0163 0.3433 0.7578 (multiplicity 9)

Output
DOS at the Fermi energy: 0.00 states/eV per cell
Energy: -34.61 eV/f.u.